--- one ---
VASP calculation (GGA-PBE) on LaSc2Ag after structural relaxation.

Mass density ... 5.47 g/cm³

Unit cell a=4.5832 b=4.5832 c=4.8627 alpha=90.00 beta=90.00 gamma=90.00
Space group P4/mmm (No. 123)
Inequivalent atoms, fractional coordinates:
La: 0.0000 0.0000 0.0000 (multiplicity 1)
Sc: 0.0000 0.5000 0.5000 (multiplicity 2)
Ag: 0.5000 0.5000 0.0000 (multiplicity 1)



--- two ---
VASP calculation (GGA-PBE) on LaSc2Ag after structural relaxation.

Mass density ... 5.79 g/cm³

Unit cell a=7.1156 b=7.6672 c=3.5383 alpha=90.00 beta=90.00 gamma=90.00
Space group Cmmm (No. 65)
Inequivalent atoms, fractional coordinates:
La: 0.0000 0.0000 0.0000 (multiplicity 2)
Sc: 0.2500 0.2500 0.5000 (multiplicity 4)
Ag: 0.0000 0.5000 0.0000 (multiplicity 2)



Relative stability in kJ/mol of atoms, measured from the most stable structure: one 0.0; two 3.2



--- one ---
VASP calculation (GGA-PBE) on LaScAg after structural relaxation.

Mass density ... 5.54 g/cm³

Unit cell a=7.0449 b=7.0449 c=7.0449 alpha=90.00 beta=90.00 gamma=90.00
Space group F-43m (No. 216)
Inequivalent atoms, fractional coordinates:
La: 0.0000 0.0000 0.0000 (multiplicity 4)
Sc: 0.2500 0.2500 0.2500 (multiplicity 4)
Ag: 0.2500 0.2500 0.7500 (multiplicity 4)



--- two ---
VASP calculation (GGA-PBE) on LaScAg after structural relaxation.

Mass density ... 6.01 g/cm³

Unit cell a=4.9540 b=4.9540 c=3.7901 alpha=90.00 beta=90.00 gamma=120.00
Space group P3m1 (No. 156)
Inequivalent atoms, fractional coordinates:
La: 0.0000 0.0000 0.0000 (multiplicity 1)
Sc: 0.6667 0.3333 0.4993 (multiplicity 1)
Ag: 0.3333 0.6667 0.5023 (multiplicity 1)



Relative stability in kJ/mol of atoms, measured from the most stable structure: one 61.4; two 0.0



--- one ---
VASP calculation (GGA-PBE) on LaScAg after structural relaxation.

Mass density ... 6.03 g/cm³

Unit cell a=3.5057 b=3.5057 c=7.5425 alpha=90.00 beta=90.00 gamma=120.00
Space group P3m1 (No. 156)
Inequivalent atoms, fractional coordinates:
La: 0.0000 0.0000 0.0000 (multiplicity 1)
Sc: 0.6667 0.3333 0.3740 (multiplicity 1)
Ag: 0.3333 0.6667 0.6529 (multiplicity 1)



--- two ---
VASP calculation (GGA-PBE) on LaScAg after structural relaxation.

Mass density ... 5.91 g/cm³

Unit cell a=4.7348 b=4.7348 c=7.3110 alpha=90.00 beta=90.00 gamma=90.00
Space group P4/nmm (No. 129, origin choice 2)
Inequivalent atoms, fractional coordinates:
La: 0.2500 0.2500 0.1261 (multiplicity 2)
Sc: 0.2500 0.7500 0.5000 (multiplicity 2)
Ag: 0.2500 0.2500 0.7172 (multiplicity 2)



Relative stability in kJ/mol of atoms, measured from the most stable structure: one 18.0; two 0.0



--- one ---
VASP calculation (GGA-PBE) on LaScAg after structural relaxation.

Mass density ... 5.39 g/cm³

Unit cell a=7.1123 b=7.1123 c=7.1123 alpha=90.00 beta=90.00 gamma=90.00
Space group F-43m (No. 216)
Inequivalent atoms, fractional coordinates:
La: 0.0000 0.0000 0.0000 (multiplicity 4)
Sc: 0.0000 0.0000 0.5000 (multiplicity 4)
Ag: 0.2500 0.2500 0.2500 (multiplicity 4)



--- two ---
VASP calculation (GGA-PBE) on LaScAg after structural relaxation.

Mass density ... 6.12 g/cm³

Unit cell a=3.5578 b=3.5578 c=12.5111 alpha=90.00 beta=90.00 gamma=90.00
Space group I4mm (No. 107)
Inequivalent atoms, fractional coordinates:
La: 0.0000 0.0000 0.0000 (multiplicity 2)
Sc: 0.0000 0.0000 0.2985 (multiplicity 2)
Ag: 0.0000 0.0000 0.6824 (multiplicity 2)



Relative stability in kJ/mol of atoms, measured from the most stable structure: one 24.1; two 0.0



--- one ---
VASP calculation (GGA-PBE) on La4ScAg after structural relaxation.

Mass density ... 6.02 g/cm³

Unit cell a=9.2125 b=9.2125 c=9.2125 alpha=90.00 beta=90.00 gamma=90.00
Space group F-43m (No. 216)
Inequivalent atoms, fractional coordinates:
La: 0.1242 0.1242 0.1242 (multiplicity 16)
Sc: 0.2500 0.2500 0.7500 (multiplicity 4)
Ag: 0.0000 0.0000 0.5000 (multiplicity 4)



--- two ---
VASP calculation (GGA-PBE) on La4ScAg after structural relaxation.

Mass density ... 6.22 g/cm³

Unit cell a=3.7684 b=3.7684 c=13.3106 alpha=90.00 beta=90.00 gamma=90.00
Space group P4/mmm (No. 123)
Inequivalent atoms, fractional coordinates:
La: 0.0000 0.0000 0.1463 (multiplicity 2)
La: 0.5000 0.5000 0.3358 (multiplicity 2)
Sc: 0.0000 0.0000 0.5000 (multiplicity 1)
Ag: 0.5000 0.5000 0.0000 (multiplicity 1)



Relative stability in kJ/mol of atoms, measured from the most stable structure: one 43.9; two 0.0



--- one ---
VASP calculation (GGA-PBE) on La2Ag2Se after structural relaxation.

Mass density ... 6.48 g/cm³

Unit cell a=8.1580 b=8.1580 c=4.4075 alpha=90.00 beta=90.00 gamma=90.00
Space group P4/mbm (No. 127)
Inequivalent atoms, fractional coordinates:
La: 0.1762 0.3238 0.0000 (multiplicity 4)
Ag: 0.1212 0.6212 0.5000 (multiplicity 4)
Se: 0.0000 0.0000 0.0000 (multiplicity 2)



--- two ---
VASP calculation (GGA-PBE) on La2Ag2Se after structural relaxation.

Mass density ... 7.02 g/cm³

Unit cell a=8.1745 b=8.1745 c=4.0542 alpha=90.00 beta=90.00 gamma=90.00
Space group P4/mbm (No. 127)
Inequivalent atoms, fractional coordinates:
La: 0.1786 0.3214 0.0000 (multiplicity 4)
Ag: 0.1198 0.6198 0.5000 (multiplicity 4)
Se: 0.0000 0.0000 0.5000 (multiplicity 2)



Relative stability in kJ/mol of atoms, measured from the most stable structure: one 0.0; two 11.4



--- one ---
VASP calculation (GGA-PBE) on La2AgSe4 after structural relaxation.

Mass density ... 6.32 g/cm³

Unit cell a=7.4103 b=5.9840 c=8.6804 alpha=90.00 beta=106.86 gamma=90.00
Space group P2_1/m (No. 11)
Inequivalent atoms, fractional coordinates:
La: 0.2327 0.2500 0.4293 (multiplicity 2)
La: 0.2373 0.2500 0.9366 (multiplicity 2)
Ag: 0.2384 0.7500 0.6818 (multiplicity 2)
Se: 0.0577 0.7500 0.3802 (multiplicity 2)
Se: 0.0637 0.7500 0.8993 (multiplicity 2)
Se: 0.4689 0.5164 0.2422 (multiplicity 4)



--- two ---
VASP calculation (GGA-PBE) on La2AgSe4 after structural relaxation.

Mass density ... 6.01 g/cm³

Unit cell a=4.9476 b=4.9476 c=15.8410 alpha=90.00 beta=90.00 gamma=90.00
Space group I4/mmm (No. 139)
Inequivalent atoms, fractional coordinates:
La: 0.0000 0.0000 0.1338 (multiplicity 4)
Ag: 0.0000 0.0000 0.5000 (multiplicity 2)
Se: 0.0000 0.0000 0.3154 (multiplicity 4)
Se: 0.0000 0.5000 0.0000 (multiplicity 4)



Relative stability in kJ/mol of atoms, measured from the most stable structure: one 0.0; two 19.2



--- one ---
VASP calculation (GGA-PBE) on LaAgSe3 after structural relaxation.

Mass density ... 6.19 g/cm³

Unit cell a=5.0632 b=5.0632 c=5.0632 alpha=90.00 beta=90.00 gamma=90.00
Space group Pm-3m (No. 221)
Inequivalent atoms, fractional coordinates:
La: 0.0000 0.0000 0.0000 (multiplicity 1)
Ag: 0.5000 0.5000 0.5000 (multiplicity 1)
Se: 0.0000 0.5000 0.5000 (multiplicity 3)



--- two ---
VASP calculation (GGA-PBE) on LaAgSe3 after structural relaxation.

Mass density ... 4.20 g/cm³

Unit cell a=5.7592 b=5.7592 c=5.7592 alpha=90.00 beta=90.00 gamma=90.00
Space group Pm-3m (No. 221)
Inequivalent atoms, fractional coordinates:
La: 0.0000 0.0000 0.0000 (multiplicity 1)
Ag: 0.5000 0.5000 0.5000 (multiplicity 1)
Se: 0.0000 0.0000 0.5000 (multiplicity 3)



Relative stability in kJ/mol of atoms, measured from the most stable structure: one 0.0; two 44.2



--- one ---
VASP calculation (GGA-PBE) on LaAg3Se after structural relaxation.

Mass density ... 6.79 g/cm³

Unit cell a=5.0962 b=5.0962 c=5.0962 alpha=90.00 beta=90.00 gamma=90.00
Space group Pm-3m (No. 221)
Inequivalent atoms, fractional coordinates:
La: 0.0000 0.0000 0.0000 (multiplicity 1)
Ag: 0.0000 0.5000 0.5000 (multiplicity 3)
Se: 0.5000 0.5000 0.5000 (multiplicity 1)



--- two ---
VASP calculation (GGA-PBE) on LaAg3Se after structural relaxation.

Mass density ... 5.01 g/cm³

Unit cell a=5.6393 b=5.6393 c=5.6393 alpha=90.00 beta=90.00 gamma=90.00
Space group Pm-3m (No. 221)
Inequivalent atoms, fractional coordinates:
La: 0.0000 0.0000 0.0000 (multiplicity 1)
Ag: 0.0000 0.0000 0.5000 (multiplicity 3)
Se: 0.5000 0.5000 0.5000 (multiplicity 1)



Relative stability in kJ/mol of atoms, measured from the most stable structure: one 0.0; two 88.3



--- one ---
VASP calculation (GGA-PBE) on La2Si2Ag after structural relaxation.

Mass density ... 6.01 g/cm³

Unit cell a=7.3614 b=7.3614 c=4.5030 alpha=90.00 beta=90.00 gamma=90.00
Space group P4/mbm (No. 127)
Inequivalent atoms, fractional coordinates:
La: 0.1786 0.3214 0.0000 (multiplicity 4)
Si: 0.1160 0.6160 0.5000 (multiplicity 4)
Ag: 0.0000 0.0000 0.5000 (multiplicity 2)



--- two ---
VASP calculation (GGA-PBE) on La2Si2Ag after structural relaxation.

Mass density ... 6.01 g/cm³

Unit cell a=11.1822 b=4.4938 c=11.1752 alpha=90.00 beta=119.56 gamma=90.00
Space group C2/m (No. 12)
Inequivalent atoms, fractional coordinates:
La: 0.1058 0.0000 0.4110 (multiplicity 4)
La: 0.2106 0.5000 0.1535 (multiplicity 4)
Si: 0.0385 0.0000 0.9180 (multiplicity 4)
Si: 0.1128 0.5000 0.6087 (multiplicity 4)
Ag: 0.0663 0.5000 0.8193 (multiplicity 4)



Relative stability in kJ/mol of atoms, measured from the most stable structure: one 1.9; two 0.0



--- one ---
VASP calculation (GGA-PBE) on La3SiAg after structural relaxation.

Mass density ... 6.40 g/cm³

Unit cell a=9.3631 b=8.5813 c=7.2159 alpha=90.00 beta=98.68 gamma=90.00
Space group P2_1/c (No. 14)
Inequivalent atoms, fractional coordinates:
La: 0.1162 0.0011 0.1788 (multiplicity 4)
La: 0.2740 0.1469 0.6725 (multiplicity 4)
La: 0.3833 0.6917 0.4681 (multiplicity 4)
Si: 0.4408 0.0369 0.3330 (multiplicity 4)
Ag: 0.0601 0.6657 0.0550 (multiplicity 4)



--- two ---
VASP calculation (GGA-PBE) on La3SiAg after structural relaxation.

Mass density ... 4.94 g/cm³

Unit cell a=5.7060 b=5.7060 c=5.7060 alpha=90.00 beta=90.00 gamma=90.00
Space group Pm-3m (No. 221)
Inequivalent atoms, fractional coordinates:
La: 0.0000 0.0000 0.5000 (multiplicity 3)
Si: 0.0000 0.0000 0.0000 (multiplicity 1)
Ag: 0.5000 0.5000 0.5000 (multiplicity 1)



Relative stability in kJ/mol of atoms, measured from the most stable structure: one 0.0; two 37.6



--- one ---
VASP calculation (GGA-PBE) on LaSm2Ag after structural relaxation.

Mass density ... 7.21 g/cm³

Unit cell a=3.6694 b=3.6694 c=32.4523 alpha=90.00 beta=90.00 gamma=120.00
Space group R3m (No. 160, hexagonal axes)
Inequivalent atoms, fractional coordinates:
La: 0.0000 0.0000 0.0000 (multiplicity 3)
Sm: 0.0000 0.0000 0.2379 (multiplicity 3)
Sm: 0.0000 0.0000 0.4276 (multiplicity 3)
Ag: 0.0000 0.0000 0.8327 (multiplicity 3)



--- two ---
VASP calculation (GGA-PBE) on LaSm2Ag after structural relaxation.

Mass density ... 7.49 g/cm³

Unit cell a=3.7328 b=3.7328 c=8.7140 alpha=90.00 beta=90.00 gamma=90.00
Space group P4/mmm (No. 123)
Inequivalent atoms, fractional coordinates:
La: 0.0000 0.0000 0.0000 (multiplicity 1)
Sm: 0.5000 0.5000 0.2910 (multiplicity 2)
Ag: 0.0000 0.0000 0.5000 (multiplicity 1)



Relative stability in kJ/mol of atoms, measured from the most stable structure: one 12.7; two 0.0



--- one ---
VASP calculation (GGA-PBE) on LaSm2Ag after structural relaxation.

Mass density ... 7.81 g/cm³

Unit cell a=5.6262 b=5.6262 c=3.6782 alpha=90.00 beta=90.00 gamma=90.00
Space group P4/mmm (No. 123)
Inequivalent atoms, fractional coordinates:
La: 0.0000 0.0000 0.0000 (multiplicity 1)
Sm: 0.0000 0.5000 0.5000 (multiplicity 2)
Ag: 0.5000 0.5000 0.0000 (multiplicity 1)



--- two ---
VASP calculation (GGA-PBE) on LaSm2Ag after structural relaxation.

Mass density ... 7.93 g/cm³

Unit cell a=7.7099 b=7.7099 c=7.7099 alpha=90.00 beta=90.00 gamma=90.00
Space group Fm-3m (No. 225)
Inequivalent atoms, fractional coordinates:
La: 0.0000 0.0000 0.0000 (multiplicity 4)
Sm: 0.2500 0.2500 0.2500 (multiplicity 8)
Ag: 0.0000 0.0000 0.5000 (multiplicity 4)



Relative stability in kJ/mol of atoms, measured from the most stable structure: one 0.0; two 6.9